# 1
DFT (PBE) results for crystalline Mg2SiAs at its relaxed geometry.

Energy above the lowest structure with this stoichiometry, meV per atom: 0
Total magnetic moment, μB/cell: 0.0
Formation energy (no corrections), kJ/mol of formula units: -57
SG: No. 8

Cell lengths 5.8258, 5.8258, 4.3076 Å; angles 72.33, 72.33, 34.57 degrees
Last column: nearest neighbours and their distance in Å.
Atoms (fractional coordinates):
1 Mg 0.0141 0.0141 0.1258  4 Si 2.78-2.80, 1 As 2.85
2 Mg 0.7350 0.7350 0.6280  4 As 2.78-2.80, 1 Si 2.84
3 As 0.2739 0.2739 0.0932  1 Si 2.44
4 Si 0.4770 0.4770 0.6530  1 As 2.44

=====

# 2
DFT (PBE) results for crystalline MgSi2As at its relaxed geometry.

Energy above the lowest structure with this stoichiometry, meV per atom: 8
Total magnetic moment, μB/cell: 0.0
Formation energy (no corrections), kJ/mol of formula units: 33
SG: No. 69

Cell lengths 3.7890, 5.5870, 3.7883 Å; angles 70.65, 88.71, 109.36 degrees
Last column: nearest neighbours and their distance in Å.
Atoms (fractional coordinates):
1 As 0.0000 0.5000 0.5000  4 Mg 2.65-2.71, 4 Si 2.81
2 Si 0.5000 0.0000 0.5000  4 Si 2.65-2.71, 2 As 2.81, 2 Mg 2.81
3 Si 0.0000 0.0000 0.0000  4 Si 2.65-2.71, 2 Mg 2.81, 2 As 2.81
4 Mg 0.5000 0.5000 0.0000  4 As 2.65-2.71, 4 Si 2.81